(1)
# Np4Sb3N2

A relaxed Np4Sb3N2 crystal (GGA-PBE, Alexandria via LeMat-Bulk). Values from VASP.

Geometry as Quantum ESPRESSO input:
```
&SYSTEM
  ibrav = 0, nat = 9, ntyp = 3
/
ATOMIC_SPECIES
Np 237.00 Np.upf
Sb 121.76 Sb.upf
N 14.01 N.upf
CELL_PARAMETERS angstrom
3.820 0.000 0.953
1.390 6.281 2.561
-0.060 -0.185 8.376
ATOMIC_POSITIONS crystal
Np 0.299 0.281 0.120
Np 0.701 0.719 0.880
Np 0.122 0.167 0.588
Np 0.878 0.833 0.412
Sb 0.404 0.493 0.700
Sb 0.000 0.000 0.000
Sb 0.596 0.507 0.300
N 0.303 0.030 0.363
N 0.697 0.970 0.637
```

Results
Calculated volume: 22.54 Å³/atom
Energy: -9.569 eV per atom
Crystal system: monoclinic
Formation energy without anion corrections: -57.24 kJ per mole of atoms

(2)
# Gd3Br2O6

A relaxed Gd3Br2O6 crystal (GGA-PBE, Alexandria via LeMat-Bulk). Values from VASP.

Geometry as Quantum ESPRESSO input:
```
&SYSTEM
  ibrav = 0, nat = 22, ntyp = 3
/
ATOMIC_SPECIES
Gd 157.25 Gd.upf
Br 79.90 Br.upf
O 16.00 O.upf
CELL_PARAMETERS angstrom
4.341 0.000 0.000
0.000 6.724 0.000
0.000 0.000 13.758
ATOMIC_POSITIONS crystal
Gd 0.797 0.241 0.500
Gd 0.297 0.759 0.000
Gd 0.240 0.922 0.645
Gd 0.240 0.922 0.355
Gd 0.740 0.078 0.855
Gd 0.740 0.078 0.145
Br 0.272 0.493 0.630
Br 0.272 0.493 0.370
Br 0.772 0.507 0.870
Br 0.772 0.507 0.130
O 0.256 0.882 0.167
O 0.256 0.882 0.833
O 0.756 0.118 0.333
O 0.756 0.118 0.667
O 0.310 0.107 0.500
O 0.810 0.893 0.000
O 0.245 0.095 0.201
O 0.245 0.095 0.799
O 0.745 0.905 0.299
O 0.745 0.905 0.701
O 0.937 0.907 0.500
O 0.437 0.093 0.000
```

Results
Calculated volume: 18.25 Å³/atom
Energy: -8.964 eV per atom
Crystal system: orthorhombic
Formation energy without anion corrections: -204.11 kJ per mole of atoms

(3)
# NaCa2ErCl8

A relaxed NaCa2ErCl8 crystal (GGA-PBE, Alexandria via LeMat-Bulk). Values from VASP.

Geometry as Quantum ESPRESSO input:
```
&SYSTEM
  ibrav = 0, nat = 12, ntyp = 4
/
ATOMIC_SPECIES
Na 22.99 Na.upf
Ca 40.08 Ca.upf
Er 167.26 Er.upf
Cl 35.45 Cl.upf
CELL_PARAMETERS angstrom
-4.497 -4.114 2.183
3.656 -4.882 -1.782
3.659 -0.007 7.527
ATOMIC_POSITIONS crystal
Na 0.000 0.000 0.500
Ca 0.500 0.500 0.743
Ca 0.500 0.500 0.257
Er 0.000 0.000 0.000
Cl 0.181 0.789 0.229
Cl 0.689 0.720 0.000
Cl 0.819 0.211 0.229
Cl 0.819 0.211 0.771
Cl 0.311 0.280 0.000
Cl 0.181 0.789 0.771
Cl 0.681 0.709 0.500
Cl 0.319 0.291 0.500
```

Results
Calculated volume: 28.69 Å³/atom
Energy: -4.309 eV per atom
Crystal system: monoclinic
Formation energy without anion corrections: -217.47 kJ per mole of atoms

(4)
# SrLa2Cu

A relaxed SrLa2Cu crystal (GGA-PBE, Alexandria via LeMat-Bulk). Values from VASP.

Geometry as Quantum ESPRESSO input:
```
&SYSTEM
  ibrav = 0, nat = 4, ntyp = 3
/
ATOMIC_SPECIES
Sr 87.62 Sr.upf
La 138.91 La.upf
Cu 63.55 Cu.upf
CELL_PARAMETERS angstrom
-1.588 0.033 3.678
-0.943 -3.450 1.805
8.906 -1.600 6.042
ATOMIC_POSITIONS crystal
Sr 0.500 0.500 0.501
La 0.059 0.059 0.824
La 0.275 0.275 0.175
Cu 0.667 0.667 0.000
```

Results
Calculated volume: 36.95 Å³/atom
Energy: -3.814 eV per atom
Crystal system: trigonal
ΔE_f: 94 meV/atom
Energy relative to the lowest polymorph listed for this composition: 0.091 eV per atom

(5)
# CeSmPa2P4

A relaxed CeSmPa2P4 crystal (GGA-PBE, Alexandria via LeMat-Bulk). Values from VASP.

Geometry as Quantum ESPRESSO input:
```
&SYSTEM
  ibrav = 0, nat = 8, ntyp = 4
/
ATOMIC_SPECIES
Ce 140.12 Ce.upf
Sm 150.36 Sm.upf
Pa 231.04 Pa.upf
P 30.97 P.upf
CELL_PARAMETERS angstrom
4.024 0.000 0.000
0.000 6.968 0.118
0.000 -2.438 6.548
ATOMIC_POSITIONS crystal
Ce 0.000 0.000 0.000
Sm 0.500 0.500 0.000
Pa 0.500 0.000 0.500
Pa 0.000 0.500 0.500
P 0.500 0.253 0.260
P 0.500 0.747 0.740
P 0.000 0.246 0.739
P 0.000 0.754 0.261
```

Results
Calculated volume: 23.09 Å³/atom
Energy: -7.838 eV per atom
Crystal system: monoclinic
ΔE_f: -1427 meV/atom

(6)
# Y2Mg3Tl3

A relaxed Y2Mg3Tl3 crystal (GGA-PBE, Alexandria via LeMat-Bulk). Values from VASP.

Geometry as Quantum ESPRESSO input:
```
&SYSTEM
  ibrav = 0, nat = 8, ntyp = 3
/
ATOMIC_SPECIES
Y 88.91 Y.upf
Mg 24.30 Mg.upf
Tl 204.38 Tl.upf
CELL_PARAMETERS angstrom
-0.655 -4.507 -1.835
2.407 -1.875 3.747
-7.313 -0.706 4.345
ATOMIC_POSITIONS crystal
Y 0.000 0.000 0.747
Y 0.000 0.000 0.253
Mg 0.500 0.500 0.752
Mg 0.500 0.500 0.248
Mg 0.500 0.000 0.000
Tl 0.500 0.000 0.500
Tl 0.000 0.500 0.000
Tl 0.000 0.500 0.500
```

Results
Calculated volume: 25.31 Å³/atom
Energy: -3.353 eV per atom
Crystal system: orthorhombic
ΔE_f: -252 meV/atom

(7)
# Sr3Cd8

A relaxed Sr3Cd8 crystal (GGA-PBE, Alexandria via LeMat-Bulk). Values from VASP.

Geometry as Quantum ESPRESSO input:
```
&SYSTEM
  ibrav = 0, nat = 11, ntyp = 2
/
ATOMIC_SPECIES
Sr 87.62 Sr.upf
Cd 112.41 Cd.upf
CELL_PARAMETERS angstrom
-0.531 2.998 -2.892
-3.095 -2.954 -2.494
-10.039 5.621 10.719
ATOMIC_POSITIONS crystal
Sr 0.000 0.000 0.000
Sr 0.146 0.646 0.291
Sr 0.854 0.354 0.709
Cd 0.743 0.743 0.486
Cd 0.257 0.257 0.514
Cd 0.548 0.548 0.095
Cd 0.452 0.452 0.905
Cd 0.405 0.905 0.809
Cd 0.595 0.095 0.191
Cd 0.311 0.811 0.622
Cd 0.689 0.189 0.378
```

Results
Calculated volume: 29.09 Å³/atom
Energy: -1.416 eV per atom
Crystal system: orthorhombic
ΔE_f: -292 meV/atom

(8)
# Sm4DyHo2

A relaxed Sm4DyHo2 crystal (GGA-PBE, Alexandria via LeMat-Bulk). Values from VASP.

Geometry as Quantum ESPRESSO input:
```
&SYSTEM
  ibrav = 0, nat = 14, ntyp = 3
/
ATOMIC_SPECIES
Sm 150.36 Sm.upf
Dy 162.50 Dy.upf
Ho 164.93 Ho.upf
CELL_PARAMETERS angstrom
11.980 -3.061 -1.546
-9.374 8.064 -1.546
0.019 0.036 6.764
ATOMIC_POSITIONS crystal
Sm 0.711 0.174 0.863
Sm 0.174 0.711 0.363
Sm 0.185 0.795 0.895
Sm 0.795 0.185 0.395
Sm 0.041 0.150 0.606
Sm 0.562 0.599 0.138
Sm 0.599 0.562 0.638
Sm 0.150 0.041 0.106
Dy 0.425 0.675 0.500
Dy 0.675 0.425 0.000
Ho 0.621 0.301 0.449
Ho 0.921 0.102 0.051
Ho 0.102 0.921 0.551
Ho 0.301 0.621 0.949
```

Results
Calculated volume: 32.92 Å³/atom
Energy: -4.607 eV per atom
Crystal system: orthorhombic
ΔE_f: 55 meV/atom
Energy relative to the lowest polymorph listed for this composition: 0.000 eV per atom

(9)
# Pa2AlPt

A relaxed Pa2AlPt crystal (GGA-PBE, Alexandria via LeMat-Bulk). Values from VASP.

Geometry as Quantum ESPRESSO input:
```
&SYSTEM
  ibrav = 0, nat = 4, ntyp = 3
/
ATOMIC_SPECIES
Pa 231.04 Pa.upf
Al 26.98 Al.upf
Pt 195.08 Pt.upf
CELL_PARAMETERS angstrom
-2.722 -1.622 -0.061
0.615 -0.920 -2.970
4.028 -6.871 2.964
ATOMIC_POSITIONS crystal
Pa 0.000 0.000 0.740
Pa 0.000 0.000 0.260
Al 0.500 0.500 0.000
Pt 0.500 0.500 0.500
```

Results
Calculated volume: 21.34 Å³/atom
Energy: -7.678 eV per atom
Crystal system: tetragonal
ΔE_f: -484 meV/atom
Energy relative to the lowest polymorph listed for this composition: 0.036 eV per atom

(10)
# CeSm3Tm6

A relaxed CeSm3Tm6 crystal (GGA-PBE, Alexandria via LeMat-Bulk). Values from VASP.

Geometry as Quantum ESPRESSO input:
```
&SYSTEM
  ibrav = 0, nat = 20, ntyp = 3
/
ATOMIC_SPECIES
Ce 140.12 Ce.upf
Sm 150.36 Sm.upf
Tm 168.93 Tm.upf
CELL_PARAMETERS angstrom
-0.169 -5.312 -7.427
8.752 -0.325 0.033
-3.987 -6.300 4.596
ATOMIC_POSITIONS crystal
Ce 0.973 0.243 0.757
Ce 0.473 0.757 0.243
Sm 0.445 0.970 0.690
Sm 0.945 0.690 0.970
Sm 0.438 0.533 0.467
Sm 0.938 0.467 0.533
Sm 0.945 0.030 0.310
Sm 0.445 0.310 0.030
Tm 0.104 0.868 0.721
Tm 0.604 0.721 0.868
Tm 0.274 0.526 0.835
Tm 0.774 0.835 0.526
Tm 0.293 0.938 0.062
Tm 0.637 0.303 0.697
Tm 0.137 0.697 0.303
Tm 0.793 0.062 0.938
Tm 0.274 0.165 0.474
Tm 0.774 0.474 0.165
Tm 0.104 0.279 0.132
Tm 0.604 0.132 0.279
```

Results
Calculated volume: 31.69 Å³/atom
Energy: -4.527 eV per atom
Crystal system: orthorhombic
ΔE_f: 165 meV/atom

(11)
# Pd3AuBr

A relaxed Pd3AuBr crystal (GGA-PBE, Alexandria via LeMat-Bulk). Values from VASP.

Geometry as Quantum ESPRESSO input:
```
&SYSTEM
  ibrav = 0, nat = 5, ntyp = 3
/
ATOMIC_SPECIES
Au 196.97 Au.upf
Br 79.90 Br.upf
Pd 106.42 Pd.upf
CELL_PARAMETERS angstrom
-1.728 4.686 -0.573
-3.862 -1.754 -2.699
-2.716 -0.487 4.202
ATOMIC_POSITIONS crystal
Au 0.000 0.000 0.000
Br 0.500 0.500 0.500
Pd 0.000 0.500 0.000
Pd 0.000 0.000 0.500
Pd 0.500 0.000 0.000
```

Results
Calculated volume: 25.41 Å³/atom
Energy: -3.200 eV per atom
Crystal system: cubic
Formation energy without anion corrections: 87.39 kJ per mole of atoms
Energy relative to the lowest polymorph listed for this composition: 0.331 eV per atom

(12)
# CsBaVCl6

A relaxed CsBaVCl6 crystal (GGA-PBE, Alexandria via LeMat-Bulk). Values from VASP.

Geometry as Quantum ESPRESSO input:
```
&SYSTEM
  ibrav = 0, nat = 9, ntyp = 4
/
ATOMIC_SPECIES
Cs 132.91 Cs.upf
Ba 137.33 Ba.upf
V 50.94 V.upf
Cl 35.45 Cl.upf
CELL_PARAMETERS angstrom
7.354 0.000 0.000
3.677 6.368 0.000
0.000 0.000 7.314
ATOMIC_POSITIONS crystal
Cs 0.000 0.000 0.000
Ba 0.667 0.667 0.500
V 0.333 0.333 0.500
Cl 0.067 0.336 0.306
Cl 0.336 0.067 0.694
Cl 0.597 0.336 0.694
Cl 0.067 0.597 0.694
Cl 0.336 0.597 0.306
Cl 0.597 0.067 0.306
```

Results
Calculated volume: 38.06 Å³/atom
Energy: -4.365 eV per atom
Crystal system: trigonal
Formation energy without anion corrections: -174.83 kJ per mole of atoms